VASP calculation (PBE-GGA) on CsPb2Cl8 after structural relaxation.

abc: 8.0960 8.1047 8.4014
angles: 89.97 89.99 60.06
Atoms (fractional coordinates):
Cs: 0.0000 0.0000 0.0000
Pb: 0.3333 0.3333 0.2296
Pb: 0.6667 0.6667 0.7704
Cl: 0.1630 0.6708 0.3235
Cl: 0.1658 0.1629 0.3240
Cl: 0.3290 0.8336 0.6760
Cl: 0.3334 0.3329 0.9312
Cl: 0.6666 0.6671 0.0688
Cl: 0.6710 0.1664 0.3240
Cl: 0.8342 0.8371 0.6760
Cl: 0.8370 0.3292 0.6765

Values from the calculation:
The space group is P-1, No. 2. For the formation energy (no corrections), the calculation gives -87.22 kJ/mol of atoms. Its crystal system is triclinic. As for the density of states at the Fermi level: 0.50 states/eV/atom.